First-principles (GGA-PBE) data for crystalline Y2CoCuC at its relaxed geometry, as listed in Alexandria via LeMat-Bulk.

Cell: 4.9531 4.9531 3.6083 Å, 90.00 90.00 90.00°
Space group P4/mmm (No. 123)
Symmetry-distinct sites (fractional):
Y1 0.0000 0.5000 0.0000 (multiplicity 2)
Co1 0.0000 0.0000 0.5000 (multiplicity 1)
Cu1 0.5000 0.5000 0.5000 (multiplicity 1)
C1 0.0000 0.0000 0.0000 (multiplicity 1)

Computed properties:
formation energy	-7.48	kcal/mol of atoms

First-principles (GGA-PBE) data for crystalline Sc12Cu5Bi at its relaxed geometry, as listed in Alexandria via LeMat-Bulk.

Cell: 8.8773 8.9423 9.5339 Å, 90.00 90.00 90.00°
Space group Immm (No. 71)
Symmetry-distinct sites (fractional):
Sc1 0.0000 0.2026 0.1853 (multiplicity 8)
Sc2 0.1796 0.2236 0.5000 (multiplicity 8)
Sc3 0.2003 0.5000 0.2754 (multiplicity 8)
Cu1 0.0000 0.0000 0.3749 (multiplicity 4)
Cu2 0.0000 0.5000 0.5000 (multiplicity 2)
Cu3 0.1404 0.0000 0.0000 (multiplicity 4)
Bi1 0.0000 0.5000 0.0000 (multiplicity 2)

Computed properties:
formation energy	-5.26	kcal/mol of atoms

> Among the records above, which one has the lowest formation energy?

Y2CoCuC

> Among the records above, which one has the highest formation energy?

Sc12Cu5Bi

> Number 1 is which compound?

Y2CoCuC